Record 1
A geometry-optimized InCuBr2 structure. Source: Alexandria, functional PBE.

extended XYZ file:
```
8
Lattice="8.172 0.000 0.000 0.000 8.082 0.000 -1.804 0.000 3.543" Properties=species:S:1:pos:R:3 pbc="T T T"
In 0.000 0.000 0.000
In 4.086 4.041 0.000
Cu 0.000 4.041 0.000
Cu 4.086 0.000 0.000
Br 1.141 2.021 1.772
Br 1.141 6.062 1.772
Br 5.227 2.021 1.772
Br 5.227 6.062 1.772
```

## Properties
- Symmetry: C2/m (12)

---

Record 2
A geometry-optimized In2CuBr structure. Source: Alexandria, functional PBE.

extended XYZ file:
```
16
Lattice="6.457 0.000 0.000 0.000 6.457 0.000 0.000 0.000 13.257" Properties=species:S:1:pos:R:3 pbc="T T T"
In 1.138 1.614 1.657
In 1.614 4.366 4.971
In 1.614 5.319 11.600
In 2.091 1.614 8.285
In 4.366 4.843 8.285
In 4.843 1.138 11.600
In 4.843 2.091 4.971
In 5.319 4.843 1.657
Cu 0.000 0.000 0.000
Cu 0.000 3.228 3.314
Cu 3.228 0.000 9.943
Cu 3.228 3.228 6.628
Br 0.000 0.000 6.628
Br 0.000 3.228 9.943
Br 3.228 0.000 3.314
Br 3.228 3.228 0.000
```

## Properties
- Symmetry: I-42d (122)

---

Quick rundown of raw total energy, same order as above: -20.81 -44.95 eV for the cell shown
Quick rundown of formation energy (no corrections), same order as above: -21.6 0.9 kJ/mol of formula units
Quick rundown of Fermi-level density of states, same order as above: 1.7 0.7 states/eV per cell